DFT (PBE) results for a geometry-optimized NdTlCd2 structure.

Cell and atoms, written as POSCAR:
```
NdTlCd2
1.0
-0.639 3.407 4.008
-4.299 -0.312 3.083
0.445 -1.683 5.005
Tl Nd Cd
1 1 2
Cartesian
-2.247 0.706 6.048 Tl
0.000 0.000 0.000 Nd
-1.123 0.353 3.024 Cd
-3.370 1.059 9.072 Cd
```

Calculated values
- Fermi-level density of states: 1.25 states/eV/f.u.
- Offset from the most stable computed form: 94 meV per atom
- Total DFT energy (no corrections): -2.438 eV/atom
- E_form: -197.1 meV per atom